(1)
Entry from the Alexandria database: a geometry-optimized Ti2GaCu3 structure (GGA-PBE).

Cell: 2.753 2.717 12.064 Å, 96.47 96.55 90.00°
Each line ends with the local moment (μB).
Sites, in units of the cell vectors:
Ga 0.456 0.956 0.912  0.00
Cu 0.546 0.546 0.092  0.01
Cu 0.706 0.706 0.411  0.01
Ti 0.126 0.126 0.252  0.32
Ti 0.873 0.373 0.746  -0.01
Cu 0.293 0.793 0.586  0.00

uncorrected energy	-5.19	eV per atom
crystal system	orthorhombic

---

(2)
Entry from the Alexandria database: a geometry-optimized Ti5Ga2Cu structure (GGA-PBE).

Cell: 3.873 5.070 14.175 Å, 90.00 90.00 112.46°
Sites, in units of the cell vectors:
Ga 0.751 0.501 0.153
Ti 0.347 0.694 0.464
Ti 0.039 0.079 0.404
Cu 0.833 0.665 0.750
Cu 0.167 0.335 0.250
Ga 0.249 0.499 0.653
Ti 0.555 0.109 0.750
Ga 0.249 0.499 0.847
Ti 0.039 0.079 0.096
Ti 0.347 0.694 0.036
Ti 0.445 0.891 0.250
Ti 0.961 0.921 0.904
Ti 0.653 0.306 0.964
Ga 0.751 0.501 0.347
Ti 0.653 0.306 0.536
Ti 0.961 0.921 0.596

uncorrected energy	-6.44	eV per atom
crystal system	orthorhombic

---

(3)
Entry from the Alexandria database: a geometry-optimized Ti2Ga3Cu3 structure (GGA-PBE).

Cell: 4.007 3.965 7.260 Å, 90.00 90.00 90.00°
Sites, in units of the cell vectors:
Cu 0.500 0.000 0.000
Ga 0.000 0.500 0.000
Ti 0.000 0.000 0.748
Ti 0.000 0.000 0.252
Ga 0.500 0.000 0.500
Cu 0.500 0.500 0.763
Cu 0.500 0.500 0.237
Ga 0.000 0.500 0.500

uncorrected energy	-4.92	eV per atom
crystal system	orthorhombic